Record 1
{
  "formula": "SrCaNdEu",
  "functional": "PBE",
  "state": "optimized geometry",
  "lattice_angstrom": [[-6.157, 0.115, -0.656], [-2.888, -4.625, -2.935], [-3.528, -3.966, 3.189]],
  "species": ["Eu", "Sr", "Ca", "Nd"],
  "fractional_positions": [[0.000, 0.000, 0.000], [0.250, 0.250, 0.250], [0.500, 0.500, 0.500], [0.750, 0.750, 0.750]],
  "density_g_cm3": 4.19,
  "delta_e_f_ev_per_atom": 0.1089,
  "volume_a3_per_fu": 168,
  "dos_at_fermi_per_ev_atom": 2.786
}

***

Record 2
{
  "formula": "CaNdEuTl",
  "functional": "PBE",
  "state": "optimized geometry",
  "lattice_angstrom": [[-4.400, 3.645, -0.234], [-5.189, -1.668, 1.729], [-2.222, 2.113, 4.827]],
  "species": ["Eu", "Tl", "Nd", "Ca"],
  "fractional_positions": [[0.750, 0.750, 0.750], [0.000, 0.000, 0.000], [0.250, 0.250, 0.250], [0.500, 0.500, 0.500]],
  "density_g_cm3": 6.79,
  "delta_e_f_ev_per_atom": -0.1182,
  "volume_a3_per_fu": 132,
  "dos_at_fermi_per_ev_atom": 2.670
}

***

Record 3
{
  "formula": "CaNdEuY",
  "functional": "PBE",
  "state": "optimized geometry",
  "lattice_angstrom": [[5.936, 0.000, 0.000], [2.968, 5.141, 0.000], [2.968, 1.714, 4.847]],
  "species": ["Eu", "Y", "Ca", "Nd"],
  "fractional_positions": [[0.500, 0.500, 0.500], [0.750, 0.750, 0.750], [0.250, 0.250, 0.250], [0.000, 0.000, 0.000]],
  "density_g_cm3": 4.77,
  "delta_e_f_ev_per_atom": 0.1270,
  "volume_a3_per_fu": 148,
  "dos_at_fermi_per_ev_atom": 1.357
}

***

Record 4
{
  "formula": "CaEu3Ni",
  "functional": "PBE",
  "state": "optimized geometry",
  "lattice_angstrom": [[5.688, 0.000, 0.000], [0.000, 5.688, 0.000], [0.000, 0.000, 5.688]],
  "species": ["Eu", "Eu", "Eu", "Ni", "Ca"],
  "fractional_positions": [[0.000, 0.500, 0.000], [0.000, 0.000, 0.500], [0.500, 0.000, 0.000], [0.000, 0.000, 0.000], [0.500, 0.500, 0.500]],
  "density_g_cm3": 5.00,
  "delta_e_f_ev_per_atom": -0.0497,
  "volume_a3_per_fu": 184,
  "dos_at_fermi_per_ev_atom": 5.291
}

***

Record 5
{
  "formula": "CaEuNi",
  "functional": "PBE",
  "state": "optimized geometry",
  "lattice_angstrom": [[4.940, 0.000, 0.000], [2.470, 4.279, 0.000], [2.470, 1.426, 4.034]],
  "species": ["Eu", "Ni", "Ca"],
  "fractional_positions": [[0.000, 0.000, 0.000], [0.250, 0.250, 0.250], [0.500, 0.500, 0.500]],
  "polymorph_energy_mev_per_atom": 31,
  "density_g_cm3": 4.88,
  "delta_e_f_ev_per_atom": -0.0004,
  "volume_a3_per_fu": 85,
  "dos_at_fermi_per_ev_atom": 4.149
}

***

Record 6
{
  "formula": "Ca2EuNi",
  "functional": "PBE",
  "state": "optimized geometry",
  "lattice_angstrom": [[-0.255, -0.825, -3.874], [0.537, -3.719, -1.276], [-9.595, -3.259, -0.708]],
  "species": ["Eu", "Ni", "Ca", "Ca"],
  "fractional_positions": [[0.500, 0.500, 0.500], [0.000, 0.000, 0.000], [0.720, 0.720, 0.839], [0.280, 0.280, 0.161]],
  "polymorph_energy_mev_per_atom": 35,
  "density_g_cm3": 3.58,
  "delta_e_f_ev_per_atom": 0.0513,
  "volume_a3_per_fu": 135,
  "dos_at_fermi_per_ev_atom": 0.641
}